Ti2Zn2Ni3 (PBE, relaxed); SG = R-3m (166); volume = 13.8 Å³/atom; E = -5.436 eV/atom; Fermi-level density of states = 3.69 states/eV per cell; ΔH_f (0 K) = -229 kJ/mol of formula units
1.0
-1.430 -2.305 3.220
3.015 -1.529 -2.509
4.350 4.565 2.440
Ti Zn Ni
2 2 3
Cartesian
0.791 -1.625 1.941
5.144 2.355 1.210
1.748 0.998 1.490
4.187 -0.268 1.661
0.000 0.000 0.000
3.449 1.975 2.938
2.486 -1.245 0.212

LaYRhBr (PBE, relaxed); SG = R3m (160); volume = 28.4 Å³/atom; formation energy from raw total energies = -1.11 eV per atom; E = -6.214 eV/atom; Fermi-level density of states = 0.64 states/eV per cell
1.0
4.079 -0.001 0.000
-2.039 3.532 0.000
-2.039 -1.177 7.892
La Y Rh Br
1 1 1 1
Cartesian
0.386 -0.259 5.360
-1.654 3.274 0.515
-1.653 0.919 6.905
2.425 0.920 2.763

Sm2PaTl3S6 (PBE, relaxed); SG = C2/m (12); volume = 27.6 Å³/atom; formation energy from raw total energies = -1.33 eV per atom; E = -5.564 eV/atom; Fermi-level density of states = 7.75 states/eV per cell
1.0
7.077 0.000 0.000
-3.536 6.130 0.000
-1.181 -2.045 7.638
Sm Pa Tl S
2 1 3 6
Cartesian
0.006 4.084 0.000
3.535 2.046 0.000
0.000 0.000 0.000
-2.318 4.063 3.819
4.678 0.022 3.819
1.180 2.043 3.819
3.503 2.102 6.134
2.397 4.150 1.524
-1.144 1.983 1.503
0.070 4.085 6.134
-0.037 -0.065 6.113
2.289 0.000 1.503